The following is a PBE-GGA calculation of a relaxed structure of B2Pd3Pt3, from Alexandria.

Structure (POSCAR):
```
B2Pd3Pt3
1.0
3.699 0.000 0.000
-1.849 5.278 0.000
0.000 0.000 11.218
B Pd Pt
4 6 6
Cartesian
1.849 3.274 9.928
0.000 2.003 4.319
1.849 3.274 6.899
0.000 2.003 1.290
1.849 5.161 4.194
0.000 0.117 9.803
1.849 5.161 1.415
0.000 0.117 7.024
1.849 1.459 2.805
0.000 3.819 8.414
1.849 1.593 5.534
0.000 3.685 11.143
1.849 1.593 0.076
0.000 3.685 5.685
0.000 3.528 2.805
1.849 1.750 8.414
```

- SG = Cmcm
- DOS(E_F) (states/eV per atom) = 0.508
- raw total energy (eV per atom) = -6.098



The following is a PBE-GGA calculation of a relaxed structure of BPd3Pt, from Alexandria.

Structure (POSCAR):
```
BPd3Pt
1.0
-3.808 -0.614 1.560
0.969 -3.965 0.806
1.368 1.101 3.772
B Pd Pt
1 3 1
Cartesian
0.000 0.000 0.000
0.485 -1.983 0.403
0.684 0.551 1.886
-1.904 -0.307 0.780
-0.735 -1.739 3.069
```

- SG = Pm-3m
- DOS(E_F) (states/eV per atom) = 1.040
- energy above the most stable polymorph in this dataset (meV per atom) = 260
- raw total energy (eV per atom) = -5.627



The following is a PBE-GGA calculation of a relaxed structure of BPdPt3, from Alexandria.

Structure (POSCAR):
```
BPdPt3
1.0
-2.345 -4.053 -1.203
7.281 -4.692 1.618
-9.271 3.899 4.932
B Pd Pt
4 4 12
Cartesian
-0.561 -4.744 0.962
-3.151 -0.349 0.918
-3.774 -0.103 4.384
-1.183 -4.497 4.429
0.203 -1.369 3.896
-4.538 -3.478 1.450
0.103 -2.866 0.059
-4.438 -1.981 5.287
-4.514 -0.941 2.587
4.854 -3.349 1.491
-2.141 -2.042 1.404
-2.354 -4.407 0.074
-2.193 -2.805 3.942
0.180 -3.905 2.760
2.566 -2.491 2.758
-6.901 -2.356 2.589
-9.189 -1.497 3.856
-1.980 -0.440 5.273
-6.730 0.042 3.891
2.396 -4.889 1.456
```

- SG = P2_1/c
- DOS(E_F) (states/eV per atom) = 0.731
- energy above the most stable polymorph in this dataset (meV per atom) = 9
- raw total energy (eV per atom) = -6.158



The following is a PBE-GGA calculation of a relaxed structure of BPd3Pt, from Alexandria.

Structure (POSCAR):
```
BPd3Pt
1.0
4.902 0.000 0.000
0.000 4.902 0.000
0.000 0.000 4.902
B Pd Pt
1 3 1
Cartesian
2.451 2.451 2.451
0.000 2.451 0.000
0.000 0.000 2.451
2.451 0.000 0.000
0.000 0.000 0.000
```

- SG = Pm-3m
- DOS(E_F) (states/eV per atom) = 1.730
- energy above the most stable polymorph in this dataset (meV per atom) = 2105
- raw total energy (eV per atom) = -3.782



The following is a PBE-GGA calculation of a relaxed structure of BPd3Pt4, from Alexandria.

Structure (POSCAR):
```
BPd3Pt4
1.0
5.625 -0.253 0.575
-2.990 4.771 -0.575
-1.921 -1.907 4.970
B Pd Pt
1 3 4
Cartesian
-2.426 1.415 2.241
1.203 -0.702 4.230
3.433 -2.002 5.141
0.243 2.886 1.838
-2.517 1.468 4.260
-0.716 0.418 2.648
1.711 0.530 1.567
-2.608 3.021 0.991
```

- SG = Imm2
- DOS(E_F) (states/eV per atom) = 1.546
- raw total energy (eV per atom) = -5.676



The following is a PBE-GGA calculation of a relaxed structure of B2Pd2Pt3, from Alexandria.

Structure (POSCAR):
```
B2Pd2Pt3
1.0
-0.390 0.621 2.762
-1.071 -4.788 -0.552
7.250 0.843 0.834
B Pd Pt
2 2 3
Cartesian
4.548 -2.142 2.602
1.241 -1.182 0.441
0.478 -2.373 2.080
5.310 -0.951 0.963
-0.195 0.311 1.381
2.525 -0.296 1.901
3.263 -3.028 1.142
```

- SG = C2/m
- DOS(E_F) (states/eV per atom) = 0.367
- raw total energy (eV per atom) = -6.182



The following is a PBE-GGA calculation of a relaxed structure of B2PdPt, from Alexandria.

Structure (POSCAR):
```
B2PdPt
1.0
-1.469 3.103 1.361
-3.255 1.209 -1.259
-3.695 -0.961 3.215
B Pd Pt
2 1 1
Cartesian
-2.683 0.184 1.696
-5.737 3.167 1.621
0.000 0.000 0.000
-4.210 1.676 1.659
```

- SG = R-3m
- DOS(E_F) (states/eV per atom) = 0.341
- energy above the most stable polymorph in this dataset (meV per atom) = 181
- raw total energy (eV per atom) = -5.806



The following is a PBE-GGA calculation of a relaxed structure of B2Pd3Pt4, from Alexandria.

Structure (POSCAR):
```
B2Pd3Pt4
1.0
-1.423 4.303 2.950
-4.038 -2.260 6.033
3.526 -0.238 6.731
B Pd Pt
4 6 8
Cartesian
0.194 2.477 4.911
-0.414 2.128 12.502
-2.128 -0.672 10.803
-1.520 -0.322 3.212
-3.249 -2.174 7.501
-3.784 0.275 6.202
1.315 3.979 8.213
1.850 1.531 9.512
-1.075 -0.297 7.077
-0.859 2.103 8.637
-3.026 0.229 8.983
-3.574 2.671 7.840
1.092 1.577 6.731
1.640 -0.866 7.874
0.051 0.224 4.464
-0.305 -0.311 9.864
-1.985 1.582 11.250
-1.629 2.117 5.850
```

- SG = C2/c
- DOS(E_F) (states/eV per atom) = 0.626
- raw total energy (eV per atom) = -6.022



| no. | calculated density (Mg/m³) |
| --- | --- |
| 1 | 14.04 |
| 2 | 12.11 |
| 3 | 15.89 |
| 4 | 7.40 |
| 5 | 14.00 |
| 6 | 14.67 |
| 7 | 10.06 |
| 8 | 14.63 |